1.
VASP calculation (GGA-PBE) on an optimized crystal structure of Ca2ReTe.

a b c (Å): 8.2549 8.2549 6.1371
angles (deg): 90.00 90.00 90.00
Closest atoms and distances in Å follow each position.
Space group I-42d (No. 122)
Symmetry-distinct sites (fractional):
Ca: 0.2256 0.7500 0.1250  2 Re 2.88, 2 Ca 3.09, 2 Te 3.16
Re: 0.0000 0.0000 0.0000  4 Ca 2.88, 2 Te 3.07
Te: 0.0000 0.0000 0.5000  2 Re 3.07, 4 Ca 3.16

Output
ΔE_f (raw), eV/atom: 0.49
D(E_F), states/eV/cell: 12.5
Calculated volume, Å³ per atom: 26.138
Theoretical density, Mg/m³: 6.257
Raw total energy, eV/atom: -4.408


2.
VASP calculation (GGA-PBE) on an optimized crystal structure of La2EuSb.

a b c (Å): 5.0342 5.0342 4.9610
angles (deg): 90.00 90.00 90.00
Closest atoms and distances in Å follow each position.
Space group P4/mmm (No. 123)
Symmetry-distinct sites (fractional):
La: 0.0000 0.5000 0.0000  4 Sb 3.53, 4 Eu 3.53, 4 La 3.56
Eu: 0.0000 0.0000 0.5000  8 La 3.53, 4 Sb 3.56
Sb: 0.5000 0.5000 0.5000  8 La 3.53, 4 Eu 3.56

Output
ΔE_f (raw), eV/atom: -0.57
E above lowest polymorph, eV/atom: 0.000
D(E_F), states/eV/cell: 4.0
Calculated volume, Å³ per atom: 31.432
Theoretical density, Mg/m³: 7.284
Raw total energy, eV/atom: -6.638


3.
VASP calculation (GGA-PBE) on an optimized crystal structure of LaNi2Te.

a b c (Å): 4.4956 4.4956 3.9101
angles (deg): 90.00 90.00 90.00
Closest atoms and distances in Å follow each position.
Space group P4/mmm (No. 123)
Symmetry-distinct sites (fractional):
La: 0.0000 0.0000 0.0000  8 Ni 2.98, 4 Te 3.18
Ni: 0.0000 0.5000 0.5000  4 Te 2.98, 4 La 2.98, 4 Ni 3.18
Te: 0.5000 0.5000 0.0000  8 Ni 2.98, 4 La 3.18

Output
ΔE_f (raw), eV/atom: -0.23
D(E_F), states/eV/cell: 3.2
Calculated volume, Å³ per atom: 19.756
Theoretical density, Mg/m³: 8.067
Raw total energy, eV/atom: -5.139


4.
VASP calculation (GGA-PBE) on an optimized crystal structure of Ba2BiPb2.

a b c (Å): 13.0780 5.4627 13.1727
angles (deg): 90.00 118.81 90.00
Closest atoms and distances in Å follow each position.
Space group C2/m (No. 12)
Symmetry-distinct sites (fractional):
Ba: 0.0460 0.0000 0.3438  4 Bi 3.82-4.06, 7 Pb 3.89-3.97
Ba: 0.1848 0.0000 0.0991  6 Pb 3.69-3.92, 2 Bi 3.73
Bi: 0.2317 0.5000 0.3097  3 Pb 3.15-3.22
Pb: 0.0275 0.5000 0.8949  1 Bi 3.15, 1 Pb 3.18
Pb: 0.1279 0.5000 0.5808  1 Pb 2.98, 2 Bi 3.22

Output
E above lowest polymorph, eV/atom: 0.028
D(E_F), states/eV/cell: 6.2
Calculated volume, Å³ per atom: 41.231
Calculated formation energy, eV per atom: -0.55
Theoretical density, Mg/m³: 7.233
Raw total energy, eV/atom: -3.578


5.
VASP calculation (GGA-PBE) on an optimized crystal structure of Ca2Nd3DySe6.

a b c (Å): 7.1973 12.4834 7.3577
angles (deg): 90.00 109.10 90.00
Closest atoms and distances in Å follow each position.
Space group C2/m (No. 12)
Symmetry-distinct sites (fractional):
Ca: 0.0000 0.1665 0.0000  6 Se 2.92-2.95
Nd: 0.0000 0.0000 0.5000  6 Se 3.01
Nd: 0.0000 0.3289 0.5000  6 Se 3.00-3.02
Dy: 0.0000 0.5000 0.0000  6 Se 2.89-2.92
Se: 0.2442 0.3350 0.2373  1 Dy 2.89, 2 Ca 2.92, 3 Nd 3.00-3.01
Se: 0.2486 0.5000 0.7565  1 Dy 2.92, 2 Ca 2.95, 3 Nd 3.01-3.02

Output
ΔE_f (raw), eV/atom: -1.87
D(E_F), states/eV/cell: 10.2
Calculated volume, Å³ per atom: 26.029
Theoretical density, Mg/m³: 6.109
Raw total energy, eV/atom: -5.520


6.
VASP calculation (GGA-PBE) on an optimized crystal structure of TlCdW.

a b c (Å): 3.0346 3.0346 7.7624
angles (deg): 90.00 90.00 120.00
Closest atoms and distances in Å follow each position.
Space group P3m1 (No. 156)
Symmetry-distinct sites (fractional):
Tl: 0.0000 0.0000 0.0000  6 Tl 3.03, 3 W 3.08, 3 Cd 3.34
Cd: 0.3333 0.6667 0.6337  3 W 2.96, 6 Cd 3.03
W: 0.6667 0.3333 0.3260  3 Cd 2.96, 6 W 3.03, 3 Tl 3.08

Output
E above lowest polymorph, eV/atom: 0.000
D(E_F), states/eV/cell: 1.4
Calculated volume, Å³ per atom: 20.635
Calculated formation energy, eV per atom: 0.77
Theoretical density, Mg/m³: 13.429
Raw total energy, eV/atom: -4.644


7.
VASP calculation (GGA-PBE) on an optimized crystal structure of SrTaPb.

a b c (Å): 5.2999 5.2999 3.3892
angles (deg): 90.00 90.00 120.00
Closest atoms and distances in Å follow each position.
Space group P-6m2 (No. 187)
Symmetry-distinct sites (fractional):
Sr: 0.0000 0.0000 0.0000  2 Sr 3.39, 6 Ta 3.50, 6 Pb 3.50
Ta: 0.6667 0.3333 0.5000  3 Pb 3.06, 2 Ta 3.39
Pb: 0.3333 0.6667 0.5000  3 Ta 3.06, 2 Pb 3.39

Output
E above lowest polymorph, eV/atom: 0.152
D(E_F), states/eV/cell: 3.8
Calculated volume, Å³ per atom: 27.481
Calculated formation energy, eV per atom: 0.67
Theoretical density, Mg/m³: 9.583
Raw total energy, eV/atom: -5.080


8.
VASP calculation (GGA-PBE) on an optimized crystal structure of NbCuC2.

a b c (Å): 5.4376 5.4376 5.4376
angles (deg): 90.00 90.00 90.00
Closest atoms and distances in Å follow each position.
Space group Fm-3m (No. 225)
Symmetry-distinct sites (fractional):
Nb: 0.0000 0.0000 0.0000  8 C 2.35
Cu: 0.0000 0.0000 0.5000  8 C 2.35
C: 0.2500 0.2500 0.2500  4 Nb 2.35, 4 Cu 2.35

Output
E above lowest polymorph, eV/atom: 0.264
D(E_F), states/eV/cell: 5.0
Calculated volume, Å³ per atom: 10.049
Calculated formation energy, eV per atom: 1.13
Theoretical density, Mg/m³: 7.456
Raw total energy, eV/atom: -7.026


Q: Which of these has the lowest raw total energy?
A: NbCuC2


Copy entry 3 word for word.
VASP calculation (GGA-PBE) on an optimized crystal structure of LaNi2Te.

a b c (Å): 4.4956 4.4956 3.9101
angles (deg): 90.00 90.00 90.00
Closest atoms and distances in Å follow each position.
Space group P4/mmm (No. 123)
Symmetry-distinct sites (fractional):
La: 0.0000 0.0000 0.0000  8 Ni 2.98, 4 Te 3.18
Ni: 0.0000 0.5000 0.5000  4 Te 2.98, 4 La 2.98, 4 Ni 3.18
Te: 0.5000 0.5000 0.0000  8 Ni 2.98, 4 La 3.18

Output
ΔE_f (raw), eV/atom: -0.23
D(E_F), states/eV/cell: 3.2
Calculated volume, Å³ per atom: 19.756
Theoretical density, Mg/m³: 8.067
Raw total energy, eV/atom: -5.139


Q: The highest D(E_F) belongs to which entry?
A: Ca2ReTe


Q: Which formula does entry 5 have?
A: Ca2Nd3DySe6